Density functional theory data (PBE) for crystalline CsTl12Sb4 at its relaxed geometry.

## Properties
- Space-group type: Im-3, No. 204
- Formation energy (no corrections): 0.032 eV/atom
- DFT total energy: -2.659 eV per atom
- Calculated density: 8.01 g/cm³

Cell: 9.387 9.387 9.387 Å, 109.47 109.47 109.47°
Fractional coordinates of all 17 atoms:
1 Sb 0.000 0.000 0.500
2 Tl 0.647 0.794 0.148
3 Sb 0.500 0.000 0.000
4 Tl 0.647 0.499 0.852
5 Tl 0.852 0.353 0.206
6 Tl 0.501 0.148 0.353
7 Tl 0.353 0.501 0.148
8 Tl 0.148 0.647 0.794
9 Tl 0.148 0.353 0.501
10 Tl 0.499 0.852 0.647
11 Tl 0.353 0.206 0.852
12 Tl 0.852 0.647 0.499
13 Tl 0.794 0.148 0.647
14 Sb 0.000 0.500 0.000
15 Tl 0.206 0.852 0.353
16 Sb 0.500 0.500 0.500
17 Cs 0.000 0.000 0.000